# 1
A relaxed RbTl3Rh crystal, computed with PBE.

```
RbTl3Rh
1.0
-3.329 3.329 8.327
3.329 -3.329 8.327
3.329 3.329 -8.327
Rb Tl Rh
2 6 2
direct
0.169 0.169 0.000 Rb
0.831 0.831 0.000 Rb
0.055 0.555 0.500 Tl
0.125 0.375 0.750 Tl
0.445 0.945 0.500 Tl
0.624 0.375 0.250 Tl
0.625 0.376 0.750 Tl
0.625 0.875 0.250 Tl
0.500 0.500 0.000 Rh
0.750 0.250 0.500 Rh
```

Summary:
- symmetry = I-4m2 (119)
- energy relative to the elements (eV/f.u.) = 0.6
- polymorph energy (0 for the lowest one) (meV/atom) = 185


# 2
A relaxed Cs4Tl3GeCl8 crystal, computed with PBE.

```
Cs4Tl3GeCl8
1.0
8.304 -4.631 0.000
8.304 4.631 0.000
-4.823 0.000 8.069
Cs Tl Ge Cl
4 3 1 8
direct
0.000 0.000 0.000 Cs
0.000 0.500 0.500 Cs
0.500 0.000 0.500 Cs
0.500 0.500 0.000 Cs
0.000 0.000 0.500 Tl
0.000 0.500 0.000 Tl
0.500 0.000 0.000 Tl
0.500 0.500 0.500 Ge
0.227 0.227 0.211 Cl
0.244 0.244 0.759 Cl
0.270 0.715 0.284 Cl
0.285 0.730 0.716 Cl
0.715 0.270 0.284 Cl
0.730 0.285 0.716 Cl
0.756 0.756 0.241 Cl
0.773 0.773 0.789 Cl
```

Summary:
- formation energy from raw total energies (eV/f.u.) = -21.07
- symmetry = C2/m (12)


# 3
A relaxed Li2NiGe4Pt3 crystal, computed with PBE.

```
Li2NiGe4Pt3
1.0
4.001 0.000 0.000
0.000 4.001 0.000
0.000 0.000 10.900
Li Ni Ge Pt
2 1 4 3
direct
0.000 0.500 0.229 Li
0.500 0.000 0.771 Li
0.500 0.500 0.000 Ni
0.000 0.000 0.500 Ge
0.000 0.500 0.867 Ge
0.500 0.000 0.133 Ge
0.500 0.500 0.500 Ge
0.000 0.000 0.000 Pt
0.000 0.500 0.643 Pt
0.500 0.000 0.357 Pt
```

Summary:
- symmetry = P-4m2 (115)
- energy relative to the elements (eV/f.u.) = -4.2


# 4
A relaxed TaSi crystal, computed with PBE.

```
TaSi
1.0
1.777 -2.357 0.000
1.777 2.357 0.000
0.000 0.000 3.783
Ta Si
1 1
direct
0.000 0.000 0.000 Ta
0.500 0.500 0.500 Si
```

Summary:
- formation energy from raw total energies (eV/f.u.) = -0.47
- symmetry = Cmmm (65)


# 5
A relaxed LaPr5Nd5 crystal, computed with PBE.

```
LaPr5Nd5
1.0
9.657 -3.114 0.000
9.657 3.114 0.000
-2.545 0.000 6.680
La Pr Nd
1 5 5
direct
0.000 0.000 0.000 La
0.174 0.174 0.931 Pr
0.175 0.175 0.417 Pr
0.500 0.500 0.000 Pr
0.825 0.825 0.583 Pr
0.826 0.826 0.069 Pr
0.000 0.000 0.500 Nd
0.329 0.329 0.824 Nd
0.375 0.375 0.369 Nd
0.625 0.625 0.631 Nd
0.671 0.671 0.176 Nd
```

Summary:
- symmetry = C2/m (12)
- energy relative to the elements (eV/f.u.) = 2.4
- polymorph energy (0 for the lowest one) (meV/atom) = 85


# 6
A relaxed ScTi2BiH crystal, computed with PBE.

```
ScTi2BiH
1.0
4.200 0.000 0.000
0.000 4.200 0.000
0.000 0.000 4.581
Sc Ti Bi H
1 2 1 1
direct
0.000 0.000 0.000 Sc
0.000 0.500 0.500 Ti
0.500 0.000 0.500 Ti
0.500 0.500 0.000 Bi
0.000 0.000 0.500 H
```

Summary:
- symmetry = P4/mmm (123)
- total DFT energy (no corrections) (eV per atom) = -6.15


# 7
A relaxed BeCuBr crystal, computed with PBE.

```
BeCuBr
1.0
3.272 0.000 0.000
-1.636 2.834 0.000
0.000 0.000 5.567
Be Cu Br
1 1 1
direct
0.000 0.000 0.000 Be
0.667 0.333 0.742 Cu
0.333 0.667 0.255 Br
```

Summary:
- formation energy from raw total energies (eV/f.u.) = 0.62
- symmetry = P3m1 (156)
- polymorph energy (0 for the lowest one) (meV/atom) = 0


# 8
A relaxed Rb2AuSeCl6 crystal, computed with PBE.

```
Rb2AuSeCl6
1.0
5.101 -5.496 0.000
5.101 5.496 0.000
-5.094 0.000 5.497
Rb Au Se Cl
2 1 1 6
direct
0.250 0.750 0.000 Rb
0.750 0.250 0.000 Rb
0.000 0.000 0.500 Au
0.500 0.500 0.500 Se
0.214 0.214 0.930 Cl
0.256 0.256 0.501 Cl
0.279 0.721 0.500 Cl
0.721 0.279 0.500 Cl
0.744 0.744 0.499 Cl
0.786 0.786 0.070 Cl
```

Summary:
- formation energy from raw total energies (eV/f.u.) = -9.41
- symmetry = C2/m (12)


# 9
A relaxed ScBeBr3 crystal, computed with PBE.

```
ScBeBr3
1.0
4.858 0.000 0.000
0.000 4.858 0.000
0.000 0.000 4.858
Sc Be Br
1 1 3
direct
0.000 0.000 0.000 Sc
0.500 0.500 0.500 Be
0.000 0.500 0.500 Br
0.500 0.000 0.500 Br
0.500 0.500 0.000 Br
```

Summary:
- formation energy from raw total energies (eV/f.u.) = -1.53
- symmetry = Pm-3m (221)
- polymorph energy (0 for the lowest one) (meV/atom) = 201


# 10
A relaxed BaSrSe3 crystal, computed with PBE.

```
BaSrSe3
1.0
5.732 0.000 0.000
0.000 5.732 0.000
0.000 0.000 5.732
Ba Sr Se
1 1 3
direct
0.000 0.000 0.000 Ba
0.500 0.500 0.500 Sr
0.000 0.500 0.500 Se
0.500 0.000 0.500 Se
0.500 0.500 0.000 Se
```

Summary:
- formation energy from raw total energies (eV/f.u.) = -5.08
- symmetry = Pm-3m (221)
- polymorph energy (0 for the lowest one) (meV/atom) = 0


# 11
A relaxed La2SmSi crystal, computed with PBE.

```
La2SmSi
1.0
3.987 0.000 0.000
0.000 3.987 0.000
0.000 0.000 7.542
La Sm Si
2 1 1
direct
0.000 0.000 0.198 La
0.000 0.000 0.802 La
0.500 0.500 0.500 Sm
0.500 0.500 0.000 Si
```

Summary:
- formation energy from raw total energies (eV/f.u.) = -1.00
- symmetry = P4/mmm (123)
- polymorph energy (0 for the lowest one) (meV/atom) = 28


# 12
A relaxed SiAg2Pb crystal, computed with PBE.

```
SiAg2Pb
1.0
-2.149 2.149 4.474
2.149 -2.149 4.474
2.149 2.149 -4.474
Si Ag Pb
1 2 1
direct
0.000 0.000 0.000 Si
0.250 0.750 0.500 Ag
0.500 0.500 0.000 Ag
0.750 0.250 0.500 Pb
```

Summary:
- formation energy from raw total energies (eV/f.u.) = 1.41
- symmetry = I-4m2 (119)
- polymorph energy (0 for the lowest one) (meV/atom) = 86